Record 1
Compound: Ac5Cd2Pb5
Source: OQMD via LeMat-Bulk
Functional: PBE
Structure: relaxed

abc: 9.1597 9.1597 12.1150
angles: 127.13 127.13 31.77
Atoms (fractional coordinates):
1 Ac 0.0000 0.0000 0.0000
2 Ac 0.1041 0.1041 0.4148
3 Ac 0.1926 0.1926 0.8255
4 Ac 0.8074 0.8074 0.1745
5 Ac 0.8959 0.8959 0.5852
6 Cd 0.3608 0.3608 0.7654
7 Cd 0.6392 0.6392 0.2346
8 Pb 0.2615 0.2615 0.3302
9 Pb 0.4318 0.4318 0.1377
10 Pb 0.5000 0.5000 0.5000
11 Pb 0.5682 0.5682 0.8623
12 Pb 0.7385 0.7385 0.6698

Properties
The total energy comes out at -3.88 eV/atom.



Record 2
Compound: LiPrCoTe3
Source: OQMD via LeMat-Bulk
Functional: PBE
Structure: relaxed

abc: 7.2381 7.2381 11.8087
angles: 90.00 90.00 146.40
Atoms (fractional coordinates):
1 Li 0.1960 0.8040 0.7500
2 Li 0.8040 0.1960 0.2500
3 Pr 0.0000 0.0000 0.0000
4 Pr 0.0000 0.0000 0.5000
5 Co 0.4726 0.5274 0.2500
6 Co 0.5274 0.4726 0.7500
7 Te 0.0825 0.9175 0.2500
8 Te 0.3469 0.6531 0.0871
9 Te 0.3469 0.6531 0.4129
10 Te 0.6531 0.3469 0.5871
11 Te 0.6531 0.3469 0.9129
12 Te 0.9175 0.0825 0.7500

Properties
The total energy comes out at -4.60 eV/atom.



Record 3
Compound: CdFeIrPb
Source: OQMD via LeMat-Bulk
Functional: PBE
Structure: relaxed

abc: 4.6505 4.6505 4.6505
angles: 60.00 60.00 60.00
Atoms (fractional coordinates):
1 Cd 0.0000 0.0000 0.0000
2 Fe 0.7500 0.7500 0.7500
3 Ir 0.2500 0.2500 0.2500
4 Pb 0.5000 0.5000 0.5000

Properties
The total energy comes out at -4.98 eV/atom.



Record 4
Compound: SiAgAu
Source: OQMD via LeMat-Bulk
Functional: PBE
Structure: relaxed

abc: 4.2725 4.2725 4.2725
angles: 60.00 60.00 60.00
Atoms (fractional coordinates):
1 Si 0.0000 0.0000 0.0000
2 Ag 0.7500 0.7500 0.7500
3 Au 0.2500 0.2500 0.2500

Properties
The total energy comes out at -3.76 eV/atom.



Record 5
Compound: YAlCoPt
Source: OQMD via LeMat-Bulk
Functional: PBE
Structure: relaxed

abc: 4.6376 4.6376 4.6376
angles: 60.00 60.00 60.00
Atoms (fractional coordinates):
1 Y 0.0000 0.0000 0.0000
2 Al 0.2500 0.2500 0.2500
3 Co 0.5000 0.5000 0.5000
4 Pt 0.7500 0.7500 0.7500

Properties
The total energy comes out at -6.10 eV/atom.



Record 6
Compound: ZrBe
Source: OQMD via LeMat-Bulk
Functional: PBE
Structure: relaxed

abc: 5.3860 5.3860 3.7805
angles: 90.00 90.00 144.10
Atoms (fractional coordinates):
1 Zr 0.1517 0.8483 0.7500
2 Zr 0.8483 0.1517 0.2500
3 Be 0.4411 0.5589 0.7500
4 Be 0.5589 0.4411 0.2500

Properties
The total energy comes out at -6.22 eV/atom.